No. 1
Computed, not measured: a geometry-optimized SmNpBeN3 structure at the PBE level of DFT.

D(E_F) (states/eV per atom): 1.04
Space-group type: No. 11
Uncorrected formation energy (eV per atom): -1.17
Magnetization (μB/f.u.): 2.81

a = 3.313 Å, b = 7.148 Å, c = 6.902 Å
α = 99.98°, β = 90.00°, γ = 90.00°
Last column: magnetic moment on the atom in μB.
Atoms (fractional coordinates):
Sm 0.750 0.830 0.789  0.06
Sm 0.250 0.170 0.211  0.06
Np 0.250 0.657 0.184  2.86
Np 0.750 0.343 0.816  2.86
Be 0.250 0.075 0.595  0.00
Be 0.750 0.925 0.405  0.00
N 0.250 0.841 0.493  -0.05
N 0.750 0.880 0.153  -0.08
N 0.750 0.418 0.143  -0.12
N 0.750 0.159 0.507  -0.05
N 0.250 0.582 0.857  -0.12
N 0.250 0.120 0.847  -0.08

No. 2
Computed, not measured: a geometry-optimized Al2Ni structure at the PBE level of DFT.

D(E_F) (states/eV per atom): 0.18
Space-group type: No. 8
Energy of formation (eV/atom): -0.4115
Magnetization (μB/f.u.): 0.00

a = 6.178 Å, b = 2.853 Å, c = 9.488 Å
α = 90.00°, β = 95.85°, γ = 90.00°
Atoms (fractional coordinates):
Ni 0.294 0.000 0.986
Ni 0.294 0.500 0.486
Ni 0.702 0.000 0.161
Ni 0.702 0.500 0.661
Al 0.384 0.000 0.713
Al 0.384 0.500 0.213
Al 0.001 0.000 0.563
Al 0.001 0.500 0.063
Al 0.594 0.000 0.436
Al 0.594 0.500 0.936
Al 0.950 0.000 0.825
Al 0.950 0.500 0.325

No. 3
Computed, not measured: a geometry-optimized TaRePdPb2 structure at the PBE level of DFT.

D(E_F) (states/eV per atom): 1.40
Space-group type: No. 123
Energy of formation (eV/atom): 1.7929
Magnetization (μB/f.u.): 0.00

a = 5.050 Å, b = 4.895 Å, c = 5.050 Å
α = 90.00°, β = 90.00°, γ = 90.00°
Atoms (fractional coordinates):
Pb 0.000 0.000 0.500
Pb 0.500 0.000 0.000
Re 0.000 0.500 0.000
Pd 0.000 0.000 0.000
Ta 0.500 0.500 0.500

No. 4
Computed, not measured: a geometry-optimized NpInSb structure at the PBE level of DFT.

D(E_F) (states/eV per atom): 3.89
Polymorph energy (0 for the lowest one) (meV per atom): 0.0
Space-group type: No. 139
Uncorrected formation energy (eV per atom): -0.13
Magnetization (μB/f.u.): 4.20

a = 4.476 Å, b = 4.476 Å, c = 8.648 Å
α = 105.00°, β = 105.00°, γ = 90.00°
Last column: magnetic moment on the atom in μB.
Atoms (fractional coordinates):
Np 0.351 0.351 0.701  3.94
Np 0.649 0.649 0.299  3.94
In 0.000 0.500 0.000  0.03
In 0.500 0.000 0.000  0.03
Sb 0.158 0.158 0.317  -0.07
Sb 0.842 0.842 0.683  -0.07

> Which of these has the highest magnetization?

NpInSb